(1)
Here is a relaxed structure of HfCuSe2N from Alexandria. Energies are from PBE.

Output
**ΔE to the lowest computed polymorph**: 275 meV per atom
**Formation energy (no corrections)**: 0.442 eV per atom
**Total energy**: -27.1 eV per cell
**V**: 17.28 Å³ per atom

abc: 4.903 4.903 3.593
angles: 90.00 90.00 90.00
Positions (direct):
Hf1 0.000 0.000 0.000
Cu1 0.500 0.500 0.500
Se1 0.000 0.500 0.500
Se2 0.500 0.000 0.500
N1 0.500 0.500 0.000

---

(2)
Here is a relaxed structure of HfCuSe2N from Alexandria. Energies are from PBE.

Output
**ΔE to the lowest computed polymorph**: 0 meV per atom
**Formation energy (no corrections)**: 0.166 eV per atom
**Total energy**: -28.5 eV per cell
**V**: 22.37 Å³ per atom

abc: 5.230 5.230 4.089
angles: 90.00 90.00 90.00
Positions (direct):
Hf1 0.000 0.000 0.000
Cu1 0.500 0.500 0.500
Se1 0.000 0.500 0.000
Se2 0.500 0.000 0.000
N1 0.000 0.000 0.500

---

(3)
Here is a relaxed structure of SmHf2CuN4 from Alexandria. Energies are from PBE.

Output
**Formation energy (no corrections)**: -1.323 eV per atom
**Total energy**: -145.2 eV per cell
**V**: 12.39 Å³ per atom

abc: 5.661 5.661 11.163
angles: 90.00 90.00 146.34
Positions (direct):
Sm1 0.107 0.893 0.750
Sm2 0.893 0.107 0.250
Hf1 0.367 0.633 0.556
Hf2 0.367 0.633 0.944
Hf3 0.633 0.367 0.056
Hf4 0.633 0.367 0.444
Cu1 0.158 0.842 0.250
Cu2 0.842 0.158 0.750
N1 0.000 0.000 0.000
N2 0.000 0.000 0.500
N3 0.266 0.734 0.107
N4 0.266 0.734 0.393
N5 0.450 0.550 0.750
N6 0.550 0.450 0.250
N7 0.734 0.266 0.607
N8 0.734 0.266 0.893

---

(4)
Here is a relaxed structure of HfCuTeN2 from Alexandria. Energies are from PBE.

Output
**ΔE to the lowest computed polymorph**: 0 meV per atom
**Formation energy (no corrections)**: 0.454 eV per atom
**Total energy**: -31.6 eV per cell
**V**: 20.19 Å³ per atom

abc: 4.039 4.039 6.186
angles: 90.00 90.00 90.00
Positions (direct):
Hf1 0.000 0.000 0.000
Cu1 0.500 0.500 0.500
Te1 0.000 0.000 0.500
N1 0.000 0.500 0.000
N2 0.500 0.000 0.000

---

(5)
Here is a relaxed structure of HfCuTeN2 from Alexandria. Energies are from PBE.

Output
**ΔE to the lowest computed polymorph**: 785 meV per atom
**Formation energy (no corrections)**: 1.240 eV per atom
**Total energy**: -27.6 eV per cell
**V**: 15.53 Å³ per atom

abc: 4.003 4.003 4.845
angles: 90.00 90.00 90.00
Positions (direct):
Hf1 0.000 0.000 0.000
Cu1 0.500 0.500 0.500
Te1 0.500 0.500 0.000
N1 0.000 0.500 0.500
N2 0.500 0.000 0.500

---

(6)
Here is a relaxed structure of Hf2TiCuN from Alexandria. Energies are from PBE.

Output
**Formation energy (no corrections)**: -0.750 eV per atom
**Total energy**: -44.0 eV per cell
**V**: 15.62 Å³ per atom

abc: 4.379 4.379 4.072
angles: 90.00 90.00 90.00
Positions (direct):
Hf1 0.000 0.500 0.000
Hf2 0.500 0.000 0.000
Ti1 0.000 0.000 0.500
Cu1 0.500 0.500 0.500
N1 0.000 0.000 0.000

---

(7)
Here is a relaxed structure of HfV2CuN from Alexandria. Energies are from PBE.

Output
**Formation energy (no corrections)**: 2.674 eV per atom
**Total energy**: -27.2 eV per cell
**V**: 20.49 Å³ per atom

abc: 4.691 4.691 4.655
angles: 90.00 90.00 90.00
Positions (direct):
Hf1 0.000 0.000 0.000
V1 0.000 0.500 0.000
V2 0.500 0.000 0.000
Cu1 0.000 0.000 0.500
N1 0.500 0.500 0.500

---

(8)
Here is a relaxed structure of NaHf3Cu from Alexandria. Energies are from PBE.

Output
**ΔH_f (0 K)**: 0.781 eV per atom
**ΔE to the lowest computed polymorph**: 0 meV per atom
**Total energy**: -31.4 eV per cell
**V**: 24.55 Å³ per atom

abc: 4.970 4.970 4.970
angles: 90.00 90.00 90.00
Positions (direct):
Na1 0.000 0.000 0.000
Hf1 0.000 0.500 0.500
Hf2 0.500 0.000 0.500
Hf3 0.500 0.500 0.000
Cu1 0.500 0.500 0.500

---

(9)
Here is a relaxed structure of NaHf2Cu2 from Alexandria. Energies are from PBE.

Output
**ΔH_f (0 K)**: 0.218 eV per atom
**ΔE to the lowest computed polymorph**: 41 meV per atom
**Total energy**: -56.7 eV per cell
**V**: 19.00 Å³ per atom

abc: 8.194 8.194 2.829
angles: 90.00 90.00 90.00
Positions (direct):
Na1 0.000 0.000 0.000
Na2 0.500 0.500 0.000
Hf1 0.134 0.366 0.000
Hf2 0.366 0.866 0.000
Hf3 0.634 0.134 0.000
Hf4 0.866 0.634 0.000
Cu1 0.161 0.661 0.500
Cu2 0.339 0.161 0.500
Cu3 0.661 0.839 0.500
Cu4 0.839 0.339 0.500

---

(10)
Here is a relaxed structure of NaHfCu from Alexandria. Energies are from PBE.

Output
**ΔH_f (0 K)**: 0.290 eV per atom
**ΔE to the lowest computed polymorph**: 186 meV per atom
**Total energy**: -29.0 eV per cell
**V**: 19.98 Å³ per atom

abc: 6.306 6.306 7.059
angles: 111.98 111.98 27.58
Positions (direct):
Na1 0.155 0.155 0.331
Na2 0.845 0.845 0.669
Hf1 0.139 0.139 0.849
Hf2 0.861 0.861 0.151
Cu1 0.500 0.500 0.000
Cu2 0.500 0.500 0.500

---

(11)
Here is a relaxed structure of NaHf2Cu2 from Alexandria. Energies are from PBE.

Output
**ΔH_f (0 K)**: 0.177 eV per atom
**ΔE to the lowest computed polymorph**: 0 meV per atom
**Total energy**: -57.1 eV per cell
**V**: 18.59 Å³ per atom

abc: 7.948 7.948 2.942
angles: 90.00 90.00 90.00
Positions (direct):
Na1 0.000 0.000 0.000
Na2 0.500 0.500 0.000
Hf1 0.162 0.338 0.500
Hf2 0.338 0.838 0.500
Hf3 0.662 0.162 0.500
Hf4 0.838 0.662 0.500
Cu1 0.129 0.629 0.000
Cu2 0.371 0.129 0.000
Cu3 0.629 0.871 0.000
Cu4 0.871 0.371 0.000

---

(12)
Here is a relaxed structure of NaHfCu from Alexandria. Energies are from PBE.

Output
**ΔH_f (0 K)**: 0.234 eV per atom
**ΔE to the lowest computed polymorph**: 130 meV per atom
**Total energy**: -29.3 eV per cell
**V**: 21.62 Å³ per atom

abc: 4.275 9.617 9.617
angles: 19.16 90.00 90.00
Positions (direct):
Na1 0.000 0.000 0.000
Na2 0.500 0.387 0.387
Hf1 0.000 0.773 0.773
Hf2 0.500 0.189 0.189
Cu1 0.000 0.635 0.635
Cu2 0.500 0.570 0.570